(a)
VASP calculation (PBE) on a relaxed RePd2Cl crystal.

Values from the calculation:
* crystal system: cubic
* theoretical density: 10.9 g/cm3
* symmetry: Fm-3m (225)

Unit cell a=4.5355 b=4.5355 c=4.5355 alpha=60.00 beta=60.00 gamma=60.00
Last column: nearest neighbours and their distance in Å.
Atoms (fractional coordinates):
Re 0.0000 0.0000 0.0000  8 Pd 2.78
Pd 0.2500 0.2500 0.2500  4 Cl 2.78, 4 Re 2.78
Pd 0.7500 0.7500 0.7500  4 Cl 2.78, 4 Re 2.78
Cl 0.5000 0.5000 0.5000  8 Pd 2.78


(b)
VASP calculation (PBE) on a relaxed RePd2Cl crystal.

Values from the calculation:
* crystal system: tetragonal
* theoretical density: 10.5 g/cm3
* symmetry: I-42d (122)

Unit cell a=5.7242 b=5.7242 c=5.7242 alpha=102.56 beta=102.56 gamma=124.40
Last column: nearest neighbours and their distance in Å.
Atoms (fractional coordinates):
Re 0.0000 0.0000 0.0000  4 Pd 2.61, 2 Cl 2.67
Re 0.7500 0.2500 0.5000  4 Pd 2.61, 2 Cl 2.67
Pd 0.1232 0.6250 0.9982  2 Re 2.61, 2 Cl 2.63, 2 Pd 2.67
Pd 0.3750 0.3732 0.4982  2 Re 2.61, 2 Cl 2.63, 2 Pd 2.67
Pd 0.6268 0.1250 0.0018  2 Re 2.61, 2 Cl 2.63, 2 Pd 2.67
Pd 0.8750 0.8768 0.5018  2 Re 2.61, 2 Cl 2.63, 2 Pd 2.67
Cl 0.2500 0.7500 0.5000  4 Pd 2.63, 2 Re 2.67
Cl 0.5000 0.5000 0.0000  4 Pd 2.63, 2 Re 2.67


Structures ranked by computed energy, the most stable listed first: (b), (a).


(a)
VASP calculation (PBE) on a relaxed RePdS2Cl crystal.

Values from the calculation:
* crystal system: tetragonal
* theoretical density: 6.3 g/cm3
* symmetry: P4/mmm (123)

Unit cell a=4.5271 b=4.5271 c=5.0763 alpha=90.00 beta=90.00 gamma=90.00
Last column: nearest neighbours and their distance in Å.
Atoms (fractional coordinates):
Re 0.0000 0.0000 0.0000  4 S 2.26
Pd 0.5000 0.5000 0.5000  4 Cl 3.20, 8 S 3.40
S 0.0000 0.5000 0.0000  2 Re 2.26
S 0.5000 0.0000 0.0000  2 Re 2.26
Cl 0.0000 0.0000 0.5000  2 Re 2.54


(b)
VASP calculation (PBE) on a relaxed RePdS2Cl crystal.

Values from the calculation:
* crystal system: tetragonal
* theoretical density: 6.2 g/cm3
* symmetry: P4/mmm (123)

Unit cell a=4.7398 b=4.7398 c=4.6782 alpha=90.00 beta=90.00 gamma=90.00
Last column: nearest neighbours and their distance in Å.
Atoms (fractional coordinates):
Re 0.0000 0.0000 0.0000  8 S 3.33, 4 Cl 3.35
Pd 0.5000 0.5000 0.5000  2 Cl 2.34, 4 S 2.37
S 0.0000 0.5000 0.5000  2 Pd 2.37
S 0.5000 0.0000 0.5000  2 Pd 2.37
Cl 0.5000 0.5000 0.0000  2 Pd 2.34


Structures ranked by computed energy, the most stable listed first: (a), (b).